VASP calculation (PBE-GGA) on a relaxed structure of AlFe2Te4.

a b c (Å): 7.8795 7.8795 11.0537
angles (deg): 90.00 90.00 90.00
Positions (direct):
Al 0.0000 0.2502 0.0000
Al 0.0000 0.7498 0.5000
Al 0.2502 0.0000 0.7500
Al 0.7498 0.0000 0.2500
Fe 0.2532 0.5000 0.7500
Fe 0.2553 0.2553 0.3750
Fe 0.2553 0.7447 0.1250
Fe 0.5000 0.2532 0.0000
Fe 0.5000 0.7468 0.5000
Fe 0.7447 0.2553 0.6250
Fe 0.7447 0.7447 0.8750
Fe 0.7468 0.5000 0.2500
Te 0.0218 0.2673 0.7467
Te 0.0218 0.7327 0.7533
Te 0.2673 0.0218 0.0033
Te 0.2673 0.9782 0.4967
Te 0.2680 0.4853 0.9833
Te 0.2680 0.5147 0.5167
Te 0.4853 0.2680 0.7667
Te 0.4853 0.7320 0.7333
Te 0.5147 0.2680 0.2333
Te 0.5147 0.7320 0.2667
Te 0.7320 0.4853 0.0167
Te 0.7320 0.5147 0.4833
Te 0.7327 0.0218 0.9967
Te 0.7327 0.9782 0.5033
Te 0.9782 0.2673 0.2533
Te 0.9782 0.7327 0.2467

## Properties
Energy = -133.37 eV/cell
Space group = P4_122